(1)
The following is a DFT calculation (PBE-GGA) of a relaxed Li5Co3 crystal.

The structure in CIF format:
```
data_Li5Co3
_chemical_formula_sum 'Li10 Co6'
_cell_length_a 7.6536
_cell_length_b 7.6536
_cell_length_c 4.3759
_cell_angle_alpha 90.00
_cell_angle_beta 90.00
_cell_angle_gamma 120.00
_space_group_name_H-M_alt 'P 63/m c m'
_space_group_IT_number 193
_space_group_name_Hall '-P 6c 2'
loop_
_atom_site_label
_atom_site_type_symbol
_atom_site_fract_x
_atom_site_fract_y
_atom_site_fract_z
Li1 Li 0.0000 0.2358 0.2500
Li2 Li 0.3333 0.6667 0.0000
Co1 Co 0.0000 0.4366 0.7500
```

## Properties
**Offset from the most stable computed form**: 0.168 eV per atom
**Energy of formation**: 0.36 eV/atom
**M_tot**: 0.557 μB/atom
**D(E_F)**: 14.2 states/eV per cell

(2)
The following is a DFT calculation (PBE-GGA) of a relaxed Li5Co3 crystal.

The structure in CIF format:
```
data_Li5Co3
_chemical_formula_sum 'Li5 Co3'
_cell_length_a 2.4263
_cell_length_b 8.8558
_cell_length_c 4.6327
_cell_angle_alpha 90.00
_cell_angle_beta 95.91
_cell_angle_gamma 90.00
_space_group_name_H-M_alt 'P 1 m 1'
_space_group_IT_number 6
loop_
_space_group_symop_operation_xyz
'x,y,z'
'x,-y,z'
loop_
_atom_site_label
_atom_site_type_symbol
_atom_site_fract_x
_atom_site_fract_y
_atom_site_fract_z
Li1 Li 0.0000 0.0000 0.0000
Li2 Li 0.2379 0.2580 0.7428
Li3 Li 0.7693 0.2578 0.2602
Co1 Co 0.0058 0.5000 0.0022
Co2 Co 0.5001 0.0000 0.5000
Co3 Co 0.5059 0.5000 0.5022
```

## Properties
**Offset from the most stable computed form**: 0.000 eV per atom
**Energy of formation**: 0.19 eV/atom
**M_tot**: 0.470 μB/atom
**D(E_F)**: 5.0 states/eV per cell

(3)
The following is a DFT calculation (PBE-GGA) of a relaxed Li5Co3 crystal.

The structure in CIF format:
```
data_Li5Co3
_chemical_formula_sum 'Li10 Co6'
_cell_length_a 5.3313
_cell_length_b 8.8538
_cell_length_c 4.2091
_cell_angle_alpha 90.00
_cell_angle_beta 90.00
_cell_angle_gamma 90.00
_space_group_name_H-M_alt 'C m m m'
_space_group_IT_number 65
_space_group_name_Hall '-C 2 2'
loop_
_atom_site_label
_atom_site_type_symbol
_atom_site_fract_x
_atom_site_fract_y
_atom_site_fract_z
Li1 Li 0.0000 0.0000 0.0000
Li2 Li 0.0000 0.2505 0.5000
Li3 Li 0.2500 0.2500 0.0000
Co1 Co 0.0000 0.5000 0.0000
Co2 Co 0.2326 0.5000 0.5000
```

## Properties
**Offset from the most stable computed form**: 0.015 eV per atom
**Energy of formation**: 0.21 eV/atom
**M_tot**: 0.477 μB/atom
**D(E_F)**: 6.9 states/eV per cell

(4)
The following is a DFT calculation (PBE-GGA) of a relaxed LiCo3 crystal.

The structure in CIF format:
```
data_LiCo3
_chemical_formula_sum 'Li1 Co3'
_cell_length_a 2.4026
_cell_length_b 4.0036
_cell_length_c 4.6453
_cell_angle_alpha 90.00
_cell_angle_beta 99.58
_cell_angle_gamma 90.00
_space_group_name_H-M_alt 'P 1 2/m 1'
_space_group_IT_number 10
loop_
_space_group_symop_operation_xyz
'x,y,z'
'-x,-y,-z'
'-x,y,-z'
'x,-y,z'
loop_
_atom_site_label
_atom_site_type_symbol
_atom_site_fract_x
_atom_site_fract_y
_atom_site_fract_z
Li1 Li 0.0000 0.0000 0.0000
Co1 Co 0.2510 0.5000 0.7503
Co2 Co 0.5000 0.0000 0.5000
```

## Properties
**Energy of formation**: 0.12 eV/atom
**M_tot**: 1.192 μB/atom
**D(E_F)**: 3.7 states/eV per cell

(5)
The following is a DFT calculation (PBE-GGA) of a relaxed Li3Co5 crystal.

The structure in CIF format:
```
data_Li3Co5
_chemical_formula_sum 'Li3 Co5'
_cell_length_a 2.4167
_cell_length_b 8.5487
_cell_length_c 4.4179
_cell_angle_alpha 90.00
_cell_angle_beta 92.06
_cell_angle_gamma 90.00
_space_group_name_H-M_alt 'P 1 2/m 1'
_space_group_IT_number 10
loop_
_space_group_symop_operation_xyz
'x,y,z'
'-x,-y,-z'
'-x,y,-z'
'x,-y,z'
loop_
_atom_site_label
_atom_site_type_symbol
_atom_site_fract_x
_atom_site_fract_y
_atom_site_fract_z
Li1 Li 0.0000 0.0000 0.0000
Li2 Li 0.0000 0.5000 0.5000
Li3 Li 0.5000 0.0000 0.5000
Co1 Co 0.2411 0.2599 0.2514
Co2 Co 0.5000 0.5000 0.0000
```

## Properties
**Energy of formation**: 0.16 eV/atom
**M_tot**: 0.946 μB/atom
**D(E_F)**: 7.5 states/eV per cell

(6)
The following is a DFT calculation (PBE-GGA) of a relaxed LiCo8 crystal.

The structure in CIF format:
```
data_LiCo8
_chemical_formula_sum 'Li2 Co16'
_cell_length_a 7.4474
_cell_length_b 7.4474
_cell_length_c 3.5528
_cell_angle_alpha 90.00
_cell_angle_beta 90.00
_cell_angle_gamma 90.00
_space_group_name_H-M_alt 'I 4/m m m'
_space_group_IT_number 139
_space_group_name_Hall '-I 4 2'
loop_
_atom_site_label
_atom_site_type_symbol
_atom_site_fract_x
_atom_site_fract_y
_atom_site_fract_z
Li1 Li 0.0000 0.0000 0.0000
Co1 Co 0.0000 0.3378 0.0000
Co2 Co 0.1714 0.1714 0.5000
```

## Properties
**Energy of formation**: 0.07 eV/atom
**M_tot**: 1.389 μB/atom
**D(E_F)**: 17.2 states/eV per cell

(7)
The following is a DFT calculation (PBE-GGA) of a relaxed LiCo2 crystal.

The structure in CIF format:
```
data_LiCo2
_chemical_formula_sum 'Li2 Co4'
_cell_length_a 3.9967
_cell_length_b 3.9967
_cell_length_c 4.7185
_cell_angle_alpha 90.00
_cell_angle_beta 90.00
_cell_angle_gamma 120.00
_space_group_name_H-M_alt 'P 63/m m c'
_space_group_IT_number 194
_space_group_name_Hall '-P 6c 2c'
loop_
_atom_site_label
_atom_site_type_symbol
_atom_site_fract_x
_atom_site_fract_y
_atom_site_fract_z
Li1 Li 0.3333 0.6667 0.2500
Co1 Co 0.0000 0.0000 0.0000
Co2 Co 0.3333 0.6667 0.7500
```

## Properties
**Energy of formation**: 0.29 eV/atom
**M_tot**: 1.025 μB/atom
**D(E_F)**: 6.6 states/eV per cell

(8)
The following is a DFT calculation (PBE-GGA) of a relaxed LiCo3 crystal.

The structure in CIF format:
```
data_LiCo3
_chemical_formula_sum 'Li3 Co9'
_cell_length_a 2.4862
_cell_length_b 2.4862
_cell_length_c 25.3517
_cell_angle_alpha 90.00
_cell_angle_beta 90.00
_cell_angle_gamma 120.00
_space_group_name_H-M_alt 'R -3 m'
_space_group_IT_number 166
_space_group_name_Hall '-R 3 2"'
loop_
_atom_site_label
_atom_site_type_symbol
_atom_site_fract_x
_atom_site_fract_y
_atom_site_fract_z
Li1 Li 0.0000 0.0000 0.0000
Co1 Co 0.0000 0.0000 0.2460
Co2 Co 0.0000 0.0000 0.5000
```

## Properties
**Energy of formation**: 0.07 eV/atom
**M_tot**: 1.148 μB/atom
**D(E_F)**: 10.8 states/eV per cell